1.
Crystalline Sm2Y5Ho4 at its relaxed geometry, computed with GGA-PBE.

Lattice parameters (Å, degrees): 12.0388 12.0388 8.7255 96.39 96.39 16.60
Element x y z (fractional)
1 Sm 0.0914 0.0914 0.2396
2 Sm 0.9086 0.9086 0.7604
3 Y 0.1406 0.1406 0.6207
4 Y 0.2322 0.2322 0.3228
5 Y 0.5000 0.5000 0.5000
6 Y 0.7678 0.7678 0.6772
7 Y 0.8594 0.8594 0.3793
8 Ho 0.0455 0.0455 0.8615
9 Ho 0.3235 0.3235 0.0277
10 Ho 0.6765 0.6765 0.9723
11 Ho 0.9545 0.9545 0.1385

Properties
ΔH_f (0 K): 0.154 eV/atom
density of states at the Fermi level: 1.94 states/eV/atom
crystal system: monoclinic
energy above the most stable polymorph in this dataset: 6.1 meV/atom

***

2.
Crystalline Sm2CdCu2 at its relaxed geometry, computed with GGA-PBE.

Lattice parameters (Å, degrees): 7.6442 7.6442 3.8362 90.00 90.00 90.00
Element x y z (fractional)
1 Sm 0.1741 0.3259 0.0000
2 Sm 0.3259 0.8259 0.0000
3 Sm 0.6741 0.1741 0.0000
4 Sm 0.8259 0.6741 0.0000
5 Cd 0.0000 0.0000 0.5000
6 Cd 0.5000 0.5000 0.5000
7 Cu 0.1194 0.6194 0.5000
8 Cu 0.3806 0.1194 0.5000
9 Cu 0.6194 0.8806 0.5000
10 Cu 0.8806 0.3806 0.5000

Properties
ΔH_f (0 K): -0.278 eV/atom
density of states at the Fermi level: 0.83 states/eV/atom
crystal system: tetragonal